Below is RbBa2CrF8 after structural relaxation, with properties calculated at the GGA+U level.

a = 4.6787 Å, b = 5.7132 Å, c = 8.3962 Å
α = 90.00°, β = 90.00°, γ = 99.41°
Last column: nearest neighbours and their distance in Å.
Fractional coordinates of all 12 atoms:
F 0.9294 0.2203 0.1740  1 Cr 1.99
F 0.0706 0.7797 0.8260  1 Cr 1.99
F 0.3810 0.1964 0.0000  1 Cr 1.94
F 0.0706 0.7796 0.1740  1 Cr 1.99
F 0.9294 0.2204 0.8260  1 Cr 1.99
Ba 0.5000 0.5000 0.2403  6 F 2.58-2.82
F 0.6190 0.8036 0.0000  1 Cr 1.94
Cr 0.0000 0.0000 0.0000  6 F 1.94-1.99
Ba 0.5000 0.5000 0.7597  6 F 2.58-2.82
F 0.5668 0.2739 0.5000  2 Ba 2.58, 1 F 2.76, 2 Rb 2.76-2.85
Rb 0.0000 0.0000 0.5000  8 F 2.76-3.05
F 0.4332 0.7261 0.5000  2 Ba 2.58, 1 F 2.76, 2 Rb 2.76-2.85

Its spin magnetization is 3.0 μB per formula unit. The raw total energy is -5.56 eV/atom.